First-principles (PBE) data for an optimized crystal structure of BaTe2Au, as listed in Alexandria.

Output
The calculation puts the mass density at 6237 kg/m3. As for the formation energy without anion corrections: -0.825 eV per atom. The energy relative to the lowest polymorph listed for this composition comes out at 24 meV/atom.

a b c (Å): 6.933 6.933 5.277
angles (deg): 103.59 103.59 39.72
Element x y z (fractional)
Ba (0.000, 0.000, 0.000)
Te (0.290, 0.290, 0.092)
Te (0.525, 0.525, 0.518)
Au (0.710, 0.710, 0.889)